Entry 1:
Density functional theory data (PBE) for an optimized crystal structure of Be8Fe3W.

## Properties
Crystal system ... trigonal
Formation enthalpy at 0 K ... -243 meV per atom
Fermi-level density of states ... 3.9 states/eV/f.u.

a = 4.239 Å, b = 4.239 Å, c = 6.928 Å
α = 90.00°, β = 90.00°, γ = 120.00°
Each line ends with the local moment (μB).
Atoms (fractional coordinates):
Be 0.674 0.837 0.242  -0.02
Be 0.333 0.667 0.004  -0.06
W 0.000 0.000 0.559  -0.07
Be 0.333 0.667 0.497  0.01
Fe 0.000 0.000 0.935  1.67
Fe 0.667 0.333 0.061  2.14
Fe 0.667 0.333 0.445  0.61
Be 0.503 0.497 0.757  -0.03
Be 0.163 0.837 0.242  -0.02
Be 0.163 0.326 0.242  -0.02
Be 0.994 0.497 0.757  -0.03
Be 0.503 0.006 0.757  -0.03


Entry 2:
Density functional theory data (PBE) for an optimized crystal structure of Be9Fe2W.

## Properties
Crystal system ... trigonal
Formation enthalpy at 0 K ... -181 meV per atom
Fermi-level density of states ... 4.1 states/eV/f.u.

a = 4.265 Å, b = 4.265 Å, c = 7.151 Å
α = 72.65°, β = 72.65°, γ = 60.00°
Each line ends with the local moment (μB).
Atoms (fractional coordinates):
Be 0.586 0.586 0.748  -0.02
Be 0.920 0.414 0.252  -0.02
Be 0.414 0.920 0.252  -0.02
Be 0.334 0.334 0.999  0.01
Be 0.666 0.666 0.001  0.01
Be 0.080 0.586 0.748  -0.02
Be 0.414 0.414 0.252  -0.02
Be 0.500 0.500 0.500  -0.06
Fe 0.855 0.855 0.435  2.17
Fe 0.145 0.145 0.565  2.17
Be 0.586 0.080 0.748  -0.02
W 0.000 0.000 0.000  0.11


Entry 3:
Density functional theory data (PBE) for an optimized crystal structure of Be2FeW.

## Properties
Offset from the most stable computed form ... 1.49 eV per formula unit
Crystal system ... trigonal
Formation enthalpy at 0 K ... 323 meV per atom
Fermi-level density of states ... 2.3 states/eV/f.u.

a = 8.071 Å, b = 8.071 Å, c = 8.071 Å
α = 18.81°, β = 18.81°, γ = 18.81°
Each line ends with the local moment (μB).
Atoms (fractional coordinates):
W 0.750 0.750 0.750  0.12
Be 0.506 0.506 0.506  -0.03
Fe 0.250 0.250 0.250  2.19
Be 0.994 0.994 0.994  -0.03


Entry 4:
Density functional theory data (PBE) for an optimized crystal structure of Be2FeW.

## Properties
Offset from the most stable computed form ... 0.75 eV per formula unit
Crystal system ... tetragonal
Formation enthalpy at 0 K ... 138 meV per atom
Fermi-level density of states ... 1.7 states/eV/f.u.

a = 4.125 Å, b = 4.125 Å, c = 2.596 Å
α = 90.00°, β = 90.00°, γ = 90.00°
Each line ends with the local moment (μB).
Atoms (fractional coordinates):
Fe 0.500 0.000 0.500  2.07
W 0.000 0.500 0.500  0.12
Be 0.500 0.500 0.000  -0.02
Be 0.000 0.000 0.000  -0.02


Entry 5:
Density functional theory data (PBE) for an optimized crystal structure of BeFe2W.

## Properties
Crystal system ... tetragonal
Formation enthalpy at 0 K ... -43 meV per atom
Fermi-level density of states ... 1.9 states/eV/f.u.

a = 2.885 Å, b = 2.885 Å, c = 5.414 Å
α = 90.00°, β = 90.00°, γ = 90.00°
Atoms (fractional coordinates):
Fe 0.000 0.000 0.975
Be 0.500 0.500 0.750
W 0.500 0.500 0.250
Fe 0.000 0.000 0.525


Entry 6:
Density functional theory data (PBE) for an optimized crystal structure of Be2FeW.

## Properties
Offset from the most stable computed form ... 0.00 eV per formula unit
Crystal system ... cubic
Formation enthalpy at 0 K ... -50 meV per atom
Fermi-level density of states ... 0.0 states/eV/f.u.

a = 3.941 Å, b = 3.941 Å, c = 3.941 Å
α = 60.00°, β = 60.00°, γ = 60.00°
Atoms (fractional coordinates):
Fe 0.500 0.500 0.500
Be 0.000 0.000 0.000
W 0.250 0.250 0.250
Be 0.750 0.750 0.750


Entry 7:
Density functional theory data (PBE) for an optimized crystal structure of BeFeW3.

## Properties
Offset from the most stable computed form ... 2.86 eV per formula unit
Crystal system ... cubic
Formation enthalpy at 0 K ... 1592 meV per atom
Fermi-level density of states ... 3.7 states/eV/f.u.

a = 4.432 Å, b = 4.432 Å, c = 4.432 Å
α = 90.00°, β = 90.00°, γ = 90.00°
Atoms (fractional coordinates):
W 0.000 0.000 0.500
W 0.000 0.500 0.000
Be 0.500 0.500 0.500
Fe 0.000 0.000 0.000
W 0.500 0.000 0.000


Entry 8:
Density functional theory data (PBE) for an optimized crystal structure of BeFeW4.

## Properties
Crystal system ... cubic
Formation enthalpy at 0 K ... 845 meV per atom
Fermi-level density of states ... 2.7 states/eV/f.u.

a = 5.196 Å, b = 5.196 Å, c = 5.196 Å
α = 60.00°, β = 60.00°, γ = 60.00°
Each line ends with the local moment (μB).
Atoms (fractional coordinates):
W 0.375 0.375 0.874  -0.06
Fe 0.000 0.000 0.000  2.62
W 0.375 0.375 0.375  -0.06
W 0.375 0.874 0.375  -0.06
W 0.874 0.375 0.375  -0.06
Be 0.750 0.750 0.750  -0.01


What did the second record say?
Density functional theory data (PBE) for an optimized crystal structure of Be9Fe2W.

## Properties
Crystal system ... trigonal
Formation enthalpy at 0 K ... -181 meV per atom
Fermi-level density of states ... 4.1 states/eV/f.u.

a = 4.265 Å, b = 4.265 Å, c = 7.151 Å
α = 72.65°, β = 72.65°, γ = 60.00°
Each line ends with the local moment (μB).
Atoms (fractional coordinates):
Be 0.586 0.586 0.748  -0.02
Be 0.920 0.414 0.252  -0.02
Be 0.414 0.920 0.252  -0.02
Be 0.334 0.334 0.999  0.01
Be 0.666 0.666 0.001  0.01
Be 0.080 0.586 0.748  -0.02
Be 0.414 0.414 0.252  -0.02
Be 0.500 0.500 0.500  -0.06
Fe 0.855 0.855 0.435  2.17
Fe 0.145 0.145 0.565  2.17
Be 0.586 0.080 0.748  -0.02
W 0.000 0.000 0.000  0.11


The highest Fermi-level density of states belongs to which entry?
Be9Fe2W


The lowest Fermi-level density of states belongs to which entry?
number 6


Look up the formation enthalpy at 0 K of the eighth one.
845 meV per atom